The following is a DFT calculation (PBE) of crystalline U2TlO6 at its relaxed geometry.

Cell lengths 11.2040, 11.2040, 11.2040 Å; angles 90.00, 90.00, 90.00 degrees
Space group Fd-3m (No. 227, origin choice 2)
Inequivalent atoms, fractional coordinates:
U (0.0000, 0.0000, 0.0000) (multiplicity 16)
Tl (0.1250, 0.1250, 0.6250) (multiplicity 8)
O (0.0667, 0.3750, 0.3750) (multiplicity 48)

As for the formation energy from raw total energies: -2775 meV per atom. The total energy comes out at -8.85 eV per atom. As for the magnetization: 1.0 μB per formula unit.